[1]
The following is a DFT calculation (PBE) of an optimized crystal structure of YSc2As.

a b c (Å): 5.9924 5.9924 3.3544
angles (deg): 103.27 103.27 119.59
Closest atoms and distances in Å follow each position.
Positions (direct):
1 Y 0.0000 0.0000 0.0000  4 As 3.01-3.33, 4 Sc 3.08, 2 Y 3.35
2 Sc 0.0000 0.5000 0.5000  6 Sc 3.01-3.35, 2 As 3.08, 2 Y 3.08
3 Sc 0.5000 0.0000 0.5000  6 Sc 3.01-3.35, 2 As 3.08, 2 Y 3.08
4 As 0.5000 0.5000 0.0000  4 Y 3.01-3.33, 4 Sc 3.08, 2 As 3.35

Properties
As for the formation enthalpy at 0 K: -300 meV/atom.


[2]
The following is a DFT calculation (PBE) of an optimized crystal structure of YSc2As.

a b c (Å): 4.2138 6.0232 6.0232
angles (deg): 38.27 90.00 90.00
Closest atoms and distances in Å follow each position.
Positions (direct):
1 Y 0.0000 0.0000 0.0000  4 As 3.02, 3 Sc 3.15-3.22
2 Sc 0.0000 0.7233 0.7233  2 As 2.69, 4 Sc 3.01
3 Sc 0.5000 0.2977 0.2977  4 Sc 3.01, 3 As 3.17-3.20
4 As 0.5000 0.5767 0.5767  2 Sc 2.69

Properties
As for the formation enthalpy at 0 K: -614 meV/atom.


[3]
The following is a DFT calculation (PBE) of an optimized crystal structure of YScAs.

a b c (Å): 4.5308 4.5308 4.0481
angles (deg): 90.00 90.00 120.00
Closest atoms and distances in Å follow each position.
Positions (direct):
1 Y 0.0000 0.0000 0.0000  3 As 3.03, 6 Sc 3.31
2 Sc 0.3333 0.6667 0.4998  3 As 2.66
3 As 0.6667 0.3333 0.3757  3 Sc 2.66

Properties
As for the formation enthalpy at 0 K: -652 meV/atom.


[4]
The following is a DFT calculation (PBE) of an optimized crystal structure of YScAs4.

a b c (Å): 5.6471 5.6471 5.6471
angles (deg): 60.00 60.00 60.00
Closest atoms and distances in Å follow each position.
Positions (direct):
1 Y 0.0000 0.0000 0.0000  12 As 3.31, 4 Sc 3.46
2 Sc 0.2500 0.2500 0.2500  12 As 3.31, 4 Y 3.46
3 As 0.1265 0.6245 0.6245  6 As 2.81-2.83
4 As 0.6245 0.1265 0.6245  6 As 2.81-2.83
5 As 0.6245 0.6245 0.1265  6 As 2.81-2.83
6 As 0.6245 0.6245 0.6245  6 As 2.81-2.83

Properties
As for the formation enthalpy at 0 K: -214 meV/atom.


[5]
The following is a DFT calculation (PBE) of an optimized crystal structure of Y2ScAs.

a b c (Å): 9.3134 9.3134 9.3134
angles (deg): 23.72 23.72 23.72
Closest atoms and distances in Å follow each position.
Positions (direct):
1 Y 0.2310 0.2310 0.2310  3 As 2.82
2 Y 0.7690 0.7690 0.7690  3 As 2.82
3 Sc 0.0000 0.0000 0.0000  6 Y 3.55, 6 Sc 3.83
4 As 0.5000 0.5000 0.5000  6 Y 2.82

Properties
As for the formation enthalpy at 0 K: -538 meV/atom.


[6]
The following is a DFT calculation (PBE) of an optimized crystal structure of Y2ScAs.

a b c (Å): 9.4043 9.4043 9.4043
angles (deg): 23.18 23.18 23.18
Closest atoms and distances in Å follow each position.
Positions (direct):
1 Y 0.0000 0.0000 0.0000  3 As 2.84
2 Y 0.2247 0.2247 0.2247  3 Sc 3.59, 9 Y 3.69-3.78
3 Sc 0.4543 0.4543 0.4543  3 As 2.65
4 As 0.7327 0.7327 0.7327  3 Sc 2.65, 3 Y 2.84

Properties
As for the formation enthalpy at 0 K: -572 meV/atom.


[7]
The following is a DFT calculation (PBE) of an optimized crystal structure of YSc2As.

a b c (Å): 9.1562 9.1562 9.1562
angles (deg): 23.18 23.18 23.18
Closest atoms and distances in Å follow each position.
Positions (direct):
1 Y 0.0000 0.0000 0.0000  6 Sc 3.56, 6 Y 3.68
2 Sc 0.2263 0.2263 0.2263  3 As 2.66
3 Sc 0.7737 0.7737 0.7737  3 As 2.66
4 As 0.5000 0.5000 0.5000  6 Sc 2.66

Properties
As for the formation enthalpy at 0 K: -535 meV/atom.


[8]
The following is a DFT calculation (PBE) of an optimized crystal structure of YSc2As.

a b c (Å): 8.9565 8.9565 8.9565
angles (deg): 23.90 23.90 23.90
Closest atoms and distances in Å follow each position.
Positions (direct):
1 Y 0.0000 0.0000 0.0000  6 Sc 3.48-3.52, 6 Y 3.71
2 Sc 0.2283 0.2283 0.2283  3 As 2.65
3 Sc 0.4406 0.4406 0.4406  3 As 2.67
4 As 0.8353 0.8353 0.8353  6 Sc 2.65-2.67

Properties
As for the formation enthalpy at 0 K: -576 meV/atom.